Version A
Below is a geometry-optimized CrCdAu3 structure, with properties calculated at the GGA-PBE level.

Lattice parameters (Å, degrees): 4.9752 4.9752 4.9752 90.00 90.00 90.00
Last column: magnetic moment on the atom in μB.
Element x y z (fractional)
1 Cr 0.0000 0.0000 0.0000  3.39
2 Cd 0.5000 0.5000 0.5000  0.02
3 Au 0.5000 0.0000 0.0000  0.09
4 Au 0.0000 0.0000 0.5000  0.10
5 Au 0.0000 0.5000 0.0000  0.07

Version B
Below is a geometry-optimized CrCdAu3 structure, with properties calculated at the GGA-PBE level.

Lattice parameters (Å, degrees): 5.1355 5.1355 5.1355 90.00 90.00 90.00
Last column: magnetic moment on the atom in μB.
Element x y z (fractional)
1 Au 0.5000 0.0000 0.0000  -0.02
2 Cd 0.0000 0.0000 0.0000  0.00
3 Au 0.0000 0.0000 0.5000  -0.02
4 Au 0.0000 0.5000 0.0000  -0.03
5 Cr 0.5000 0.5000 0.5000  4.21

Pick the most stable structure from those above. Pick: version A